Density functional theory data (PBEsol) for crystalline Li4Mn3CrO8 at its relaxed geometry.

uncorrected formation energy	-1.853	eV/atom
total energy	-7.440	eV/atom
total magnetic moment	14.98	μB/f.u.
crystal system	monoclinic

Structure (POSCAR):
```
Li4Mn3CrO8
1.0
5.228 -2.830 0.000
5.228 2.830 0.000
-3.054 0.000 4.846
Li Mn Cr O
4 3 1 8
direct
0.000 0.000 0.000
0.000 0.500 0.500
0.500 0.000 0.500
0.500 0.500 0.000
0.000 0.000 0.500
0.000 0.500 0.000
0.500 0.000 0.000
0.500 0.500 0.500
0.236 0.752 0.727
0.248 0.764 0.273
0.259 0.259 0.784
0.274 0.274 0.256
0.726 0.726 0.744
0.741 0.741 0.216
0.752 0.236 0.727
0.764 0.248 0.273
```